Entry 1:
Compound: CrSbCl6
Source: the Alexandria database
Functional: PBE-GGA
Structure: relaxed

Computed properties:
* SG: R-3 (148)
* crystal system: trigonal
* formation energy (no corrections): -889 meV per atom
* total energy: -3.992 eV per atom

Cell: 6.8006 6.8006 6.8006 Å, 55.63 55.63 55.63°
Sites, in units of the cell vectors:
Cr1 0.0000 0.0000 0.0000
Sb1 0.5000 0.5000 0.5000
Cl1 0.0750 0.3874 0.7733
Cl2 0.2267 0.9250 0.6126
Cl3 0.3874 0.7733 0.0750
Cl4 0.6126 0.2267 0.9250
Cl5 0.7733 0.0750 0.3874
Cl6 0.9250 0.6126 0.2267


Entry 2:
Compound: Nd3Sc2Zn3
Source: the Alexandria database
Functional: PBE-GGA
Structure: relaxed

Computed properties:
* SG: Immm (71)
* crystal system: orthorhombic
* density of states at the Fermi level: 11.03 states/eV per cell
* total energy: -4.070 eV per atom

Cell: 11.0650 11.0650 11.0650 Å, 161.36 152.70 33.26°
Sites, in units of the cell vectors:
Nd1 0.0000 0.0000 0.0000
Nd2 0.3767 0.8767 0.5000
Nd3 0.6233 0.1233 0.5000
Sc1 0.2335 0.2335 0.0000
Sc2 0.7665 0.7665 0.0000
Zn1 0.1279 0.6279 0.5000
Zn2 0.5000 0.5000 0.0000
Zn3 0.8721 0.3721 0.5000


Entry 3:
Compound: NaY3F10
Source: the Alexandria database
Functional: PBE-GGA
Structure: relaxed

Computed properties:
* SG: P4_2/mmc (131)
* crystal system: tetragonal
* formation energy (no corrections): -3794 meV per atom
* density of states at the Fermi level: 0.00 states/eV per cell
* total energy: -6.610 eV per atom

Cell: 5.6470 5.6470 10.8404 Å, 90.00 90.00 90.00°
Sites, in units of the cell vectors:
Na1 0.0000 0.0000 0.0000
Na2 0.0000 0.0000 0.5000
Y1 0.0000 0.5000 0.2257
Y2 0.0000 0.5000 0.7743
Y3 0.5000 0.0000 0.2743
Y4 0.5000 0.0000 0.7257
Y5 0.5000 0.5000 0.0000
Y6 0.5000 0.5000 0.5000
F1 0.0000 0.0000 0.2500
F2 0.0000 0.0000 0.7500
F3 0.0000 0.5000 0.0000
F4 0.2611 0.2881 0.3684
F5 0.2611 0.2881 0.6316
F6 0.2611 0.7119 0.3684
F7 0.2611 0.7119 0.6316
F8 0.2881 0.2611 0.1316
F9 0.2881 0.2611 0.8684
F10 0.2881 0.7389 0.1316
F11 0.2881 0.7389 0.8684
F12 0.5000 0.0000 0.5000
F13 0.7119 0.2611 0.1316
F14 0.7119 0.2611 0.8684
F15 0.7119 0.7389 0.1316
F16 0.7119 0.7389 0.8684
F17 0.7389 0.2881 0.3684
F18 0.7389 0.2881 0.6316
F19 0.7389 0.7119 0.3684
F20 0.7389 0.7119 0.6316


Entry 4:
Compound: BaNdBrO2
Source: the Alexandria database
Functional: PBE-GGA
Structure: relaxed

Computed properties:
* SG: P4mm (99)
* crystal system: tetragonal
* formation energy (no corrections): -2804 meV per atom
* density of states at the Fermi level: 0.00 states/eV per cell
* total energy: -6.459 eV per atom

Cell: 4.3643 4.3643 7.1273 Å, 90.00 90.00 90.00°
Sites, in units of the cell vectors:
Ba1 0.0000 0.0000 0.0000
Nd1 0.5000 0.5000 0.3144
Br1 0.5000 0.5000 0.7374
O1 0.0000 0.5000 0.2034
O2 0.5000 0.0000 0.2034


Entry 5:
Compound: Na2CeAu9
Source: the Alexandria database
Functional: PBE-GGA
Structure: relaxed

Computed properties:
* SG: R-3m (166)
* crystal system: trigonal
* density of states at the Fermi level: 12.08 states/eV per cell
* total energy: -3.518 eV per atom

Cell: 10.0365 10.0365 10.0365 Å, 32.21 32.21 32.21°
Sites, in units of the cell vectors:
Na1 0.1464 0.1464 0.1464
Na2 0.8536 0.8536 0.8536
Ce1 0.0000 0.0000 0.0000
Au1 0.0836 0.5856 0.5856
Au2 0.3323 0.3323 0.3323
Au3 0.4144 0.4144 0.9164
Au4 0.4144 0.9164 0.4144
Au5 0.5000 0.5000 0.5000
Au6 0.5856 0.0835 0.5856
Au7 0.5856 0.5856 0.0836
Au8 0.6677 0.6677 0.6677
Au9 0.9164 0.4144 0.4144


Entry 6:
Compound: Be2Co2Os
Source: the Alexandria database
Functional: PBE-GGA
Structure: relaxed

Computed properties:
* SG: P4/mbm (127)
* crystal system: tetragonal
* density of states at the Fermi level: 10.52 states/eV per cell
* total energy: -6.738 eV per atom

Cell: 6.1963 6.1963 2.5866 Å, 90.00 90.00 90.00°
Sites, in units of the cell vectors:
Be1 0.1233 0.3767 0.0000
Be2 0.3767 0.8767 0.0000
Be3 0.6233 0.1233 0.0000
Be4 0.8767 0.6233 0.0000
Co1 0.1714 0.6714 0.5000
Co2 0.3286 0.1714 0.5000
Co3 0.6714 0.8286 0.5000
Co4 0.8286 0.3286 0.5000
Os1 0.0000 0.0000 0.0000
Os2 0.5000 0.5000 0.0000


Number 1: magnetic moment 0.3750 μB/atom, V 25.0 Å³ per atom. Number 2: magnetic moment 0.0001 μB/atom, V 24.8 Å³ per atom. Number 3: magnetic moment 0.0061 μB/atom, V 12.3 Å³ per atom. Number 4: magnetic moment 0.0000 μB/atom, V 27.2 Å³ per atom. Number 5: magnetic moment 0.1059 μB/atom, V 21.3 Å³ per atom. Number 6: magnetic moment 0.0000 μB/atom, V 9.9 Å³ per atom.